1.
The following is a PBE-GGA calculation of an optimized crystal structure of YSe, from the Alexandria database.

Results
Space group: No. 186
Formation energy from raw total energies in meV/atom: -1315

CIF file:
```
data_YSe
_chemical_formula_sum 'Y2 Se2'
_cell_length_a 4.168
_cell_length_b 4.168
_cell_length_c 8.461
_cell_angle_alpha 90.00
_cell_angle_beta 90.00
_cell_angle_gamma 120.00
_symmetry_space_group_name_H-M 'P 1'
_symmetry_Int_Tables_number 1
_symmetry_space_group_name_Hall 'P 1'
loop_
_atom_site_label
_atom_site_fract_x
_atom_site_fract_y
_atom_site_fract_z
Se1 0.667 0.333 0.877
Se2 0.333 0.667 0.377
Y1 0.667 0.333 0.205
Y2 0.333 0.667 0.705
```


2.
The following is a PBE-GGA calculation of an optimized crystal structure of Cu2SiOs, from the Alexandria database.

Results
Space group: No. 216
Formation energy from raw total energies in meV/atom: 45

CIF file:
```
data_Cu2SiOs
_chemical_formula_sum 'Cu2 Si1 Os1'
_cell_length_a 4.149
_cell_length_b 4.149
_cell_length_c 4.149
_cell_angle_alpha 60.00
_cell_angle_beta 60.00
_cell_angle_gamma 60.00
_symmetry_space_group_name_H-M 'P 1'
_symmetry_Int_Tables_number 1
_symmetry_space_group_name_Hall 'P 1'
loop_
_atom_site_label
_atom_site_fract_x
_atom_site_fract_y
_atom_site_fract_z
Si1 0.750 0.750 0.750
Os1 0.500 0.500 0.500
Cu1 0.000 0.000 0.000
Cu2 0.250 0.250 0.250
```


3.
The following is a PBE-GGA calculation of an optimized crystal structure of Ba8Na2Mg, from the Alexandria database.

Results
Space group: No. 12
Energy of formation from the pure elements in meV/atom: 34

CIF file:
```
data_Ba8Na2Mg
_chemical_formula_sum 'Ba8 Na2 Mg1'
_cell_length_a 6.485
_cell_length_b 8.899
_cell_length_c 11.595
_cell_angle_alpha 108.42
_cell_angle_beta 106.24
_cell_angle_gamma 90.00
_symmetry_space_group_name_H-M 'P 1'
_symmetry_Int_Tables_number 1
_symmetry_space_group_name_Hall 'P 1'
loop_
_atom_site_label
_atom_site_fract_x
_atom_site_fract_y
_atom_site_fract_z
Ba1 0.658 0.960 0.317
Ba2 0.410 0.565 0.819
Ba3 0.804 0.709 0.609
Ba4 0.342 0.040 0.683
Ba5 0.590 0.435 0.181
Ba6 0.023 0.790 0.046
Ba7 0.196 0.291 0.391
Ba8 0.977 0.210 0.954
Na1 0.819 0.294 0.639
Na2 0.181 0.706 0.361
Mg1 0.500 0.000 0.000
```


4.
The following is a PBE-GGA calculation of an optimized crystal structure of CePaTa4, from the Alexandria database.

Results
Space group: No. 216
Energy of formation from the pure elements in meV/atom: 182

CIF file:
```
data_CePaTa4
_chemical_formula_sum 'Ce1 Pa1 Ta4'
_cell_length_a 5.690
_cell_length_b 5.690
_cell_length_c 5.690
_cell_angle_alpha 60.00
_cell_angle_beta 60.00
_cell_angle_gamma 60.00
_symmetry_space_group_name_H-M 'P 1'
_symmetry_Int_Tables_number 1
_symmetry_space_group_name_Hall 'P 1'
loop_
_atom_site_label
_atom_site_fract_x
_atom_site_fract_y
_atom_site_fract_z
Ta1 0.124 0.625 0.625
Ta2 0.625 0.625 0.625
Ta3 0.625 0.124 0.625
Ta4 0.625 0.625 0.124
Ce1 0.250 0.250 0.250
Pa1 0.000 0.000 0.000
```


5.
The following is a PBE-GGA calculation of an optimized crystal structure of BeMo5, from the Alexandria database.

Results
Space group: No. 38
Energy of formation from the pure elements in meV/atom: 309

CIF file:
```
data_BeMo5
_chemical_formula_sum 'Be1 Mo5'
_cell_length_a 7.840
_cell_length_b 7.840
_cell_length_c 4.548
_cell_angle_alpha 90.00
_cell_angle_beta 90.00
_cell_angle_gamma 160.91
_symmetry_space_group_name_H-M 'P 1'
_symmetry_Int_Tables_number 1
_symmetry_space_group_name_Hall 'P 1'
loop_
_atom_site_label
_atom_site_fract_x
_atom_site_fract_y
_atom_site_fract_z
Mo1 0.100 0.900 0.500
Mo2 0.349 0.651 0.000
Mo3 0.443 0.557 0.500
Mo4 0.769 0.231 0.500
Mo5 0.669 0.331 0.000
Be1 0.003 0.997 0.000
```


6.
The following is a PBE-GGA calculation of an optimized crystal structure of Nd14ErPb, from the Alexandria database.

Results
Space group: No. 123
Energy of formation from the pure elements in meV/atom: -54

CIF file:
```
data_Nd14ErPb
_chemical_formula_sum 'Nd14 Er1 Pb1'
_cell_length_a 7.264
_cell_length_b 7.264
_cell_length_c 10.326
_cell_angle_alpha 90.00
_cell_angle_beta 90.00
_cell_angle_gamma 90.01
_symmetry_space_group_name_H-M 'P 1'
_symmetry_Int_Tables_number 1
_symmetry_space_group_name_Hall 'P 1'
loop_
_atom_site_label
_atom_site_fract_x
_atom_site_fract_y
_atom_site_fract_z
Nd1 0.126 0.376 0.755
Nd2 0.875 0.125 0.500
Nd3 0.375 0.125 0.500
Nd4 0.624 0.376 0.245
Nd5 0.875 0.625 0.500
Nd6 0.624 0.874 0.245
Nd7 0.624 0.874 0.755
Nd8 0.624 0.376 0.755
Nd9 0.375 0.125 0.000
Nd10 0.126 0.874 0.245
Nd11 0.875 0.625 0.000
Nd12 0.375 0.625 0.500
Nd13 0.126 0.376 0.245
Nd14 0.126 0.874 0.755
Pb1 0.375 0.625 0.000
Er1 0.875 0.125 0.000
```


7.
The following is a PBE-GGA calculation of an optimized crystal structure of CaLaGa2Au5, from the Alexandria database.

Results
Space group: No. 123
Energy of formation from the pure elements in meV/atom: -550

CIF file:
```
data_CaLaGa2Au5
_chemical_formula_sum 'Ca1 La1 Ga2 Au5'
_cell_length_a 4.801
_cell_length_b 4.801
_cell_length_c 8.577
_cell_angle_alpha 90.00
_cell_angle_beta 90.00
_cell_angle_gamma 90.00
_symmetry_space_group_name_H-M 'P 1'
_symmetry_Int_Tables_number 1
_symmetry_space_group_name_Hall 'P 1'
loop_
_atom_site_label
_atom_site_fract_x
_atom_site_fract_y
_atom_site_fract_z
Ca1 0.000 0.000 0.000
Ga1 0.500 0.500 0.150
Ga2 0.500 0.500 0.850
Au1 0.500 0.500 0.500
Au2 0.500 0.000 0.262
Au3 0.500 0.000 0.738
Au4 0.000 0.500 0.738
Au5 0.000 0.500 0.262
La1 0.000 0.000 0.500
```


8.
The following is a PBE-GGA calculation of an optimized crystal structure of La3MnCr, from the Alexandria database.

Results
Space group: No. 221
Energy of formation from the pure elements in meV/atom: 431

CIF file:
```
data_La3MnCr
_chemical_formula_sum 'La3 Mn1 Cr1'
_cell_length_a 5.284
_cell_length_b 5.284
_cell_length_c 5.284
_cell_angle_alpha 90.00
_cell_angle_beta 90.00
_cell_angle_gamma 90.00
_symmetry_space_group_name_H-M 'P 1'
_symmetry_Int_Tables_number 1
_symmetry_space_group_name_Hall 'P 1'
loop_
_atom_site_label
_atom_site_fract_x
_atom_site_fract_y
_atom_site_fract_z
Mn1 0.000 0.000 0.000
La1 0.000 0.000 0.500
La2 0.000 0.500 0.000
La3 0.500 0.000 0.000
Cr1 0.500 0.500 0.500
```


no.,ρ (g/cm3)
1,4.4
2,11.4
3,3.2
4,14.0
5,8.9
6,7.3
7,10.9
8,5.9